This record from the Alexandria database describes a relaxed BeNiPt crystal. The functional is GGA-PBE.

Cell: 3.889 3.889 2.669 Å, 90.00 90.00 120.00°
Fractional coordinates of all 3 atoms:
Ni 0.667 0.333 0.161
Pt 0.333 0.667 0.662
Be 0.000 0.000 0.178

Results
For the formation energy from the elements, the calculation gives -0.322 eV/atom. For the energy above the most stable polymorph in this dataset, the calculation gives 154.2 meV/atom.

=====

This record from the Alexandria database describes a relaxed BeNiPt2 crystal. The functional is GGA-PBE.

Cell: 3.885 3.885 4.794 Å, 66.10 66.10 60.00°
Fractional coordinates of all 4 atoms:
Be 0.676 0.676 0.972
Ni 0.495 0.495 0.516
Pt 0.061 0.061 0.818
Pt 0.268 0.268 0.195

Results
For the formation energy from the elements, the calculation gives -0.177 eV/atom.

=====

This record from the Alexandria database describes a relaxed Be2NiPt crystal. The functional is GGA-PBE.

Cell: 3.977 3.977 3.977 Å, 60.00 60.00 60.00°
Fractional coordinates of all 4 atoms:
Ni 0.500 0.500 0.500
Pt 0.750 0.750 0.750
Be 0.000 0.000 0.000
Be 0.250 0.250 0.250

Results
For the formation energy from the elements, the calculation gives -0.250 eV/atom.

=====

This record from the Alexandria database describes a relaxed Be3Ni2Pt2 crystal. The functional is GGA-PBE.

Cell: 3.914 3.947 6.467 Å, 88.04 109.95 121.78°
Fractional coordinates of all 7 atoms:
Be 0.000 0.000 0.000
Be 0.474 0.254 0.750
Be 0.526 0.746 0.250
Ni 0.279 0.133 0.392
Ni 0.721 0.867 0.608
Pt 0.777 0.383 0.150
Pt 0.223 0.617 0.850

Results
For the formation energy from the elements, the calculation gives -0.453 eV/atom.

=====

This record from the Alexandria database describes a relaxed BeNiPt2 crystal. The functional is GGA-PBE.

Cell: 8.167 8.167 8.167 Å, 19.21 19.21 19.21°
Each line ends with the local moment (μB).
Fractional coordinates of all 4 atoms:
Ni 0.750 0.750 0.750  0.50
Pt 0.992 0.992 0.992  0.01
Pt 0.508 0.508 0.508  0.01
Be 0.250 0.250 0.250  -0.01

Results
For the formation energy from the elements, the calculation gives -0.328 eV/atom.

=====

This record from the Alexandria database describes a relaxed Be2NiPt crystal. The functional is GGA-PBE.

Cell: 4.554 4.554 4.554 Å, 137.18 137.18 62.16°
Fractional coordinates of all 4 atoms:
Ni 0.500 0.500 0.000
Pt 0.750 0.250 0.500
Be 0.000 0.000 0.000
Be 0.250 0.750 0.500

Results
For the formation energy from the elements, the calculation gives -0.407 eV/atom.

=====

This record from the Alexandria database describes a relaxed Be3Ni2Pt crystal. The functional is GGA-PBE.

Cell: 2.733 2.733 7.909 Å, 90.00 90.00 90.00°
Fractional coordinates of all 6 atoms:
Be 0.000 0.000 0.000
Be 0.000 0.000 0.688
Be 0.000 0.000 0.312
Ni 0.500 0.500 0.843
Ni 0.500 0.500 0.157
Pt 0.500 0.500 0.500

Results
For the formation energy from the elements, the calculation gives -0.561 eV/atom.

=====

This record from the Alexandria database describes a relaxed BeNiPt4 crystal. The functional is GGA-PBE.

Cell: 5.174 5.174 5.174 Å, 60.00 60.00 60.00°
Each line ends with the local moment (μB).
Fractional coordinates of all 6 atoms:
Be 0.750 0.750 0.750  -0.01
Ni 0.000 0.000 0.000  0.25
Pt 0.875 0.375 0.375  -0.02
Pt 0.375 0.375 0.875  -0.02
Pt 0.375 0.875 0.375  -0.02
Pt 0.375 0.375 0.375  -0.02

Results
For the formation energy from the elements, the calculation gives 0.354 eV/atom. For the energy above the most stable polymorph in this dataset, the calculation gives 695.0 meV/atom.

=====

Number 1: size of the total moment 0.00 μB per cell. Number 2: size of the total moment 0.00 μB per cell. Number 3: size of the total moment 0.00 μB per cell. Number 4: size of the total moment 0.00 μB per cell. Number 5: size of the total moment 0.49 μB per cell. Number 6: size of the total moment 0.00 μB per cell. Number 7: size of the total moment 0.00 μB per cell. Number 8: size of the total moment 0.14 μB per cell.